A plane-wave DFT calculation with PBE was carried out for NpMnZnS4 after structural relaxation.

It has space group Imma (No. 74), with a = 7.5669 Å, b = 7.7189 Å, c = 10.4202 Å, α = 90.00°, β = 90.00° and γ = 90.00°. The asymmetric unit holds Np at (0.0000, 0.0000, 0.0000), Mn at (0.2500, 0.2500, 0.2500), Zn at (0.0000, 0.2500, 0.6337), S at (0.0000, 0.0210, 0.2551) and S at (0.2476, 0.2500, 0.0046).

The calculation puts the formation energy (no corrections) at -0.86 eV per atom. The calculation puts the size of the total moment at 31.77 μB per cell.